(1)
First-principles (PBE-GGA) data for UGaB12 after structural relaxation, as listed in the Alexandria database.

Calculated values
E_form ... -0.047 eV/atom
Spin magnetization ... 0.199 μB per atom

The structure in CIF format:
```
data_UGaB12
_symmetry_space_group_name_H-M 'P 4/m m m'
_symmetry_Int_Tables_number 123
_symmetry_space_group_name_Hall '-P 4 2'
_cell_length_a 4.130
_cell_length_b 4.130
_cell_length_c 8.316
_cell_angle_alpha 90.00
_cell_angle_beta 90.00
_cell_angle_gamma 90.00
loop_
_atom_site_label
_atom_site_fract_x
_atom_site_fract_y
_atom_site_fract_z
_atom_site_occupancy
U1 0.000 0.000 0.000 1
Ga1 0.000 0.000 0.500 1
B1 0.200 0.500 0.245 1
B2 0.500 0.500 0.097 1
B3 0.500 0.500 0.397 1
```

(2)
First-principles (PBE-GGA) data for PbW after structural relaxation, as listed in the Alexandria database.

Calculated values
E_form ... 1.315 eV/atom
Spin magnetization ... 0.002 μB per atom

The structure in CIF format:
```
data_PbW
_symmetry_space_group_name_H-M 'P m -3 m'
_symmetry_Int_Tables_number 221
_symmetry_space_group_name_Hall '-P 4 2 3'
_cell_length_a 3.414
_cell_length_b 3.414
_cell_length_c 3.414
_cell_angle_alpha 90.00
_cell_angle_beta 90.00
_cell_angle_gamma 90.00
loop_
_atom_site_label
_atom_site_fract_x
_atom_site_fract_y
_atom_site_fract_z
_atom_site_occupancy
Pb1 0.000 0.000 0.000 1
W1 0.500 0.500 0.500 1
```

(3)
First-principles (PBE-GGA) data for AsC2 after structural relaxation, as listed in the Alexandria database.

Calculated values
E_form ... 1.896 eV/atom
Spin magnetization ... 0.000 μB per atom

The structure in CIF format:
```
data_AsC2
_symmetry_space_group_name_H-M 'I 4/m m m'
_symmetry_Int_Tables_number 139
_symmetry_space_group_name_Hall '-I 4 2'
_cell_length_a 2.500
_cell_length_b 2.500
_cell_length_c 9.263
_cell_angle_alpha 90.00
_cell_angle_beta 90.00
_cell_angle_gamma 90.00
loop_
_atom_site_label
_atom_site_fract_x
_atom_site_fract_y
_atom_site_fract_z
_atom_site_occupancy
As1 0.000 0.000 0.000 1
C1 0.000 0.000 0.233 1
```

(4)
First-principles (PBE-GGA) data for LaReMo2 after structural relaxation, as listed in the Alexandria database.

Calculated values
E_form ... 0.594 eV/atom
Spin magnetization ... 0.000 μB per atom

The structure in CIF format:
```
data_LaReMo2
_symmetry_space_group_name_H-M 'I m m m'
_symmetry_Int_Tables_number 71
_symmetry_space_group_name_Hall '-I 2 2'
_cell_length_a 3.176
_cell_length_b 5.132
_cell_length_c 9.348
_cell_angle_alpha 90.00
_cell_angle_beta 90.00
_cell_angle_gamma 90.00
loop_
_atom_site_label
_atom_site_fract_x
_atom_site_fract_y
_atom_site_fract_z
_atom_site_occupancy
La1 0.000 0.000 0.000 1
Re1 0.000 0.000 0.500 1
Mo1 0.000 0.500 0.229 1
```

(5)
First-principles (PBE-GGA) data for NaSmCd3 after structural relaxation, as listed in the Alexandria database.

Calculated values
E_form ... -0.023 eV/atom
Spin magnetization ... 0.000 μB per atom

The structure in CIF format:
```
data_NaSmCd3
_symmetry_space_group_name_H-M 'C 1 2/m 1'
_symmetry_Int_Tables_number 12
_cell_length_a 19.239
_cell_length_b 5.563
_cell_length_c 5.293
_cell_angle_alpha 90.00
_cell_angle_beta 105.69
_cell_angle_gamma 90.00
loop_
_symmetry_equiv_pos_as_xyz
'x,y,z'
'-x,-y,-z'
'-x,y,-z'
'x,-y,z'
'x+1/2,y+1/2,z'
'-x+1/2,-y+1/2,-z'
'-x+1/2,y+1/2,-z'
'x+1/2,-y+1/2,z'
loop_
_atom_site_label
_atom_site_fract_x
_atom_site_fract_y
_atom_site_fract_z
_atom_site_occupancy
Na1 0.124 0.000 0.374 1
Sm1 0.105 0.500 0.860 1
Cd1 0.031 0.000 0.780 1
Cd2 0.204 0.500 0.458 1
Cd3 0.210 0.000 0.958 1
```

(6)
First-principles (PBE-GGA) data for AcCe2Pm after structural relaxation, as listed in the Alexandria database.

Calculated values
E_form ... 0.301 eV/atom
Spin magnetization ... 0.463 μB per atom

The structure in CIF format:
```
data_AcCe2Pm
_symmetry_space_group_name_H-M 'R -3 m'
_symmetry_Int_Tables_number 166
_symmetry_space_group_name_Hall '-R 3 2"'
_cell_length_a 3.5450
_cell_length_b 3.5450
_cell_length_c 38.2784
_cell_angle_alpha 90.00
_cell_angle_beta 90.00
_cell_angle_gamma 120.00
loop_
_atom_site_label
_atom_site_fract_x
_atom_site_fract_y
_atom_site_fract_z
_atom_site_occupancy
Ac1 0.0000 0.0000 0.0000 1
Ce1 0.0000 0.0000 0.0900 1
Pm1 0.0000 0.0000 0.5000 1
```

(7)
First-principles (PBE-GGA) data for Sn5Hg3Br12 after structural relaxation, as listed in the Alexandria database.

Calculated values
Spin magnetization ... 0.000 μB per atom
Energy relative to the elements, uncorrected ... -0.51 eV/atom

The structure in CIF format:
```
data_Sn5Hg3Br12
_symmetry_space_group_name_H-M 'I a -3 d'
_symmetry_Int_Tables_number 230
_symmetry_space_group_name_Hall '-I 4bd 2c 3'
_cell_length_a 19.057
_cell_length_b 19.057
_cell_length_c 19.057
_cell_angle_alpha 90.00
_cell_angle_beta 90.00
_cell_angle_gamma 90.00
loop_
_atom_site_label
_atom_site_fract_x
_atom_site_fract_y
_atom_site_fract_z
_atom_site_occupancy
Sn1 0.000 0.000 0.000 1
Sn2 0.000 0.250 0.375 1
Hg1 0.000 0.250 0.125 1
Br1 0.041 0.044 0.640 1
```

(8)
First-principles (PBE-GGA) data for CaB2H8 after structural relaxation, as listed in the Alexandria database.

Calculated values
Total energy ... -3.4178 eV/atom
Spin magnetization ... 0.364 μB per atom

The structure in CIF format:
```
data_CaB2H8
_symmetry_space_group_name_H-M 'C 1 2/c 1'
_symmetry_Int_Tables_number 15
_cell_length_a 10.744
_cell_length_b 11.354
_cell_length_c 7.685
_cell_angle_alpha 90.00
_cell_angle_beta 133.01
_cell_angle_gamma 90.00
loop_
_symmetry_equiv_pos_as_xyz
'x,y,z'
'-x,-y,-z'
'-x,y,-z+1/2'
'x,-y,z+1/2'
'x+1/2,y+1/2,z'
'-x+1/2,-y+1/2,-z'
'-x+1/2,y+1/2,-z+1/2'
'x+1/2,-y+1/2,z+1/2'
loop_
_atom_site_label
_atom_site_fract_x
_atom_site_fract_y
_atom_site_fract_z
_atom_site_occupancy
Ca1 0.000 0.008 0.250 1
B1 0.165 0.119 0.660 1
H1 0.016 0.147 0.496 1
H2 0.081 0.378 0.634 1
H3 0.207 0.017 0.674 1
H4 0.233 0.311 0.191 1
```